No. 1
Ba2ZnTcO6: relaxed, PBE-GGA.

Lattice parameters (Å, degrees): 5.7406 5.7406 5.7406 60.00 60.00 60.00
With the nearest neighbours (Å) after each atom.
Positions (direct):
O  0.2609  0.2609  0.7391  1 Tc 1.94, 1 Zn 2.12
O  0.2609  0.7391  0.2609  1 Tc 1.94, 1 Zn 2.12
O  0.7391  0.2609  0.7391  1 Tc 1.94, 1 Zn 2.12
O  0.7391  0.7391  0.2609  1 Tc 1.94, 1 Zn 2.12
O  0.7391  0.2609  0.2609  1 Tc 1.94, 1 Zn 2.12
O  0.2609  0.7391  0.7391  1 Tc 1.94, 1 Zn 2.12
Tc  0.5000  0.5000  0.5000  6 O 1.94
Ba  0.2500  0.2500  0.2500  12 O 2.87
Ba  0.7500  0.7500  0.7500  12 O 2.87
Zn  0.0000  0.0000  0.0000  6 O 2.12

Values from the calculation:
- Total DFT energy (no corrections): -6.53 eV per atom
- Spin magnetization: 1.000 μB/f.u.

---

No. 2
BaZnTeO: relaxed, PBE-GGA.

Lattice parameters (Å, degrees): 7.6797 7.3528 7.4275 90.00 90.00 90.00
With the nearest neighbours (Å) after each atom.
Positions (direct):
O  0.5667  0.8878  0.0764  1 Zn 1.93
O  0.0667  0.1122  0.0764  1 Zn 1.93
O  0.4333  0.1122  0.5764  1 Zn 1.93
O  0.9333  0.8878  0.5764  1 Zn 1.93
Zn  0.5482  0.3432  0.5483  1 O 1.93
Zn  0.9518  0.3432  0.0483  1 O 1.93
Zn  0.0482  0.6568  0.5483  1 O 1.93
Zn  0.4518  0.6568  0.0483  1 O 1.93
Ba  0.6287  0.8742  0.4214  3 O 2.58-2.61
Ba  0.3713  0.1258  0.9214  3 O 2.58-2.61
Ba  0.8713  0.8742  0.9214  3 O 2.58-2.61
Ba  0.1287  0.1258  0.4214  3 O 2.58-2.61
Te  0.1379  0.6100  0.2039  3 Zn 2.67-2.70
Te  0.3621  0.6100  0.7039  3 Zn 2.67-2.70
Te  0.6379  0.3900  0.2039  3 Zn 2.67-2.70
Te  0.8621  0.3900  0.7039  3 Zn 2.67-2.70

Values from the calculation:
- Total DFT energy (no corrections): -4.36 eV per atom

---

No. 3
BaZnTeO: relaxed, PBE-GGA.

Lattice parameters (Å, degrees): 4.3419 4.3161 12.9713 90.00 90.00 120.20
With the nearest neighbours (Å) after each atom.
Positions (direct):
O  0.1746  0.3491  0.3778  1 Zn 1.93
O  0.8254  0.6509  0.8778  1 Zn 1.93
Te  0.5058  0.0116  0.1487  3 Zn 2.69-2.71
Te  0.4942  0.9884  0.6487  3 Zn 2.69-2.71
Ba  0.8400  0.6800  0.4319  3 O 2.59
Ba  0.1600  0.3200  0.9319  3 O 2.59
Zn  0.1733  0.3466  0.2294  1 O 1.93
Zn  0.8267  0.6535  0.7294  1 O 1.93

Values from the calculation:
- Total DFT energy (no corrections): -4.43 eV per atom